# 1
Below is CaVRh after structural relaxation, with properties calculated at the PBE level.

SG: P2_1/c (14)
Size of the total moment, μB per formula unit: 0.00

a b c (Å): 5.5572 5.9538 7.9384
angles (deg): 66.27 90.00 90.00
Atoms (fractional coordinates):
1 V 0.3875 0.1225 0.8011
2 Rh 0.3802 0.6988 0.0335
3 V 0.6125 0.8775 0.1989
4 Rh 0.6198 0.3012 0.9665
5 Ca 0.6180 0.3047 0.3757
6 Ca 0.3820 0.6953 0.6243
7 Rh 0.8802 0.8012 0.4665
8 Ca 0.8820 0.8047 0.8757
9 Rh 0.1198 0.1988 0.5335
10 V 0.1125 0.6225 0.3011
11 V 0.8875 0.3775 0.6989
12 Ca 0.1180 0.1953 0.1243



# 2
Below is CaV2Rh after structural relaxation, with properties calculated at the PBE level.

SG: I4_1/amd (141)
Size of the total moment, μB per formula unit: 0.00
Excess energy over the best structure of this formula in the dataset, meV per atom: 151

a b c (Å): 4.3804 4.3804 9.5189
angles (deg): 76.70 76.70 90.00
Atoms (fractional coordinates):
1 Rh 0.0000 0.0000 0.0000
2 V 0.3750 0.1250 0.7500
3 Ca 0.2500 0.7500 0.5000
4 V 0.8750 0.6250 0.2500
5 V 0.8750 0.1250 0.7500
6 Rh 0.7500 0.2500 0.5000
7 V 0.8750 0.1250 0.2500
8 Ca 0.5000 0.5000 0.0000



# 3
Below is Ca3VRh after structural relaxation, with properties calculated at the PBE level.

SG: Pm-3m (221)
Size of the total moment, μB per formula unit: 4.49
Excess energy over the best structure of this formula in the dataset, meV per atom: 0

a b c (Å): 5.4179 5.4179 5.4179
angles (deg): 90.00 90.00 90.00
Atoms (fractional coordinates):
1 Ca 0.0000 0.0000 0.5000
2 V 0.5000 0.5000 0.5000
3 Rh 0.0000 0.0000 0.0000
4 Ca 0.0000 0.5000 0.0000
5 Ca 0.5000 0.0000 0.0000



Number 1: energy relative to the elements -86 meV/atom, final energy -74.92 eV/cell. Number 2: energy relative to the elements 647 meV/atom, final energy -50.00 eV/cell. Number 3: energy relative to the elements 354 meV/atom, final energy -20.70 eV/cell.